Here is a relaxed Sc2MnBe2Fe5 crystal from Alexandria via LeMat-Bulk. Energies are from PBE-GGA.

Total magnetic moment in μB/cell: 19.542
Fermi-level density of states in states/eV/atom: 1.146
E_form in eV per atom: -0.05
Electronic total energy in eV for the cell shown: -144.2

Cell: 8.7619 8.7619 3.2223 Å, 90.00 90.00 90.00°
Closest atoms and distances in Å follow each position.
Space group P4/mbm (No. 127)
Unique sites:
1 Sc 0.1758 0.3242 0.0000 (multiplicity 4)  3 Be 2.53-2.64, 6 Fe 2.71-2.81
2 Mn 0.0000 0.0000 0.0000 (multiplicity 2)  8 Fe 2.48
3 Be 0.1200 0.6200 0.0000 (multiplicity 4)  6 Fe 2.19-2.27
4 Fe 0.0000 0.5000 0.5000 (multiplicity 2)  4 Be 2.19
5 Fe 0.0632 0.7941 0.5000 (multiplicity 8)  2 Be 2.27, 2 Mn 2.48